(1)
The following is a PBE calculation of crystalline NpUAs at its relaxed geometry, from OQMD.

For the total magnetic moment, the calculation gives 8.3 Bohr magnetons per cell. The value obtained for the energy is -0.69578 Ry/atom.

Lattice parameters (Å, degrees): 4.809 4.809 4.809 60.00 60.00 60.00
Fractional coordinates of all 3 atoms:
As1 0.000 0.000 0.000
Np1 0.250 0.250 0.250
U1 0.750 0.750 0.750

(2)
The following is a PBE calculation of crystalline Ho3Cd4In2 at its relaxed geometry, from OQMD.

For the total magnetic moment, the calculation gives 0.0 Bohr magnetons per cell. The value obtained for the energy is -0.21348 Ry/atom.

Lattice parameters (Å, degrees): 6.028 6.028 9.262 115.90 115.90 48.20
Fractional coordinates of all 9 atoms:
Cd1 0.707 0.707 0.036
Cd2 0.074 0.074 0.410
Cd3 0.926 0.926 0.590
Cd4 0.293 0.293 0.964
Ho1 0.000 0.000 0.000
Ho2 0.334 0.334 0.330
Ho3 0.666 0.666 0.670
In1 0.609 0.609 0.274
In2 0.391 0.391 0.726

(3)
The following is a PBE calculation of crystalline BeCuBiPt at its relaxed geometry, from OQMD.

For the total magnetic moment, the calculation gives 0.0 Bohr magnetons per cell. The value obtained for the energy is -0.30650 Ry/atom.

Lattice parameters (Å, degrees): 4.513 4.513 4.513 60.00 60.00 60.00
Fractional coordinates of all 4 atoms:
Be1 0.750 0.750 0.750
Bi1 0.000 0.000 0.000
Cu1 0.250 0.250 0.250
Pt1 0.500 0.500 0.500

(4)
The following is a PBE calculation of crystalline Tm4GaCu2Ge4 at its relaxed geometry, from OQMD.

For the total magnetic moment, the calculation gives 0.0 Bohr magnetons per cell. The value obtained for the energy is -0.36320 Ry/atom.

Lattice parameters (Å, degrees): 7.914 7.914 6.958 106.93 106.93 30.69
Fractional coordinates of all 11 atoms:
Cu1 0.781 0.781 0.378
Cu2 0.219 0.219 0.622
Ga1 0.000 0.000 0.000
Ge1 0.195 0.195 0.240
Ge2 0.937 0.937 0.337
Ge3 0.063 0.063 0.663
Ge4 0.805 0.805 0.760
Tm1 0.350 0.350 0.067
Tm2 0.585 0.585 0.373
Tm3 0.415 0.415 0.627
Tm4 0.650 0.650 0.933

| no. | density (g cm⁻³) |
| --- | --- |
| 1 | 11.615 |
| 2 | 8.847 |
| 3 | 12.174 |
| 4 | 9.107 |